## i
# GGA+U CoAsBr2F, relaxed
data_CoAsBr2F
_chemical_formula_sum 'Co1 As1 Br2 F1'
_space_group_name_H-M_alt 'P 4/m m m'
_space_group_IT_number 123
_space_group_name_Hall '-P 4 2'
_cell_length_a 4.858
_cell_length_b 4.858
_cell_length_c 4.641
_cell_angle_alpha 90.00
_cell_angle_beta 90.00
_cell_angle_gamma 90.00
loop_
_atom_site_label
_atom_site_type_symbol
_atom_site_fract_x
_atom_site_fract_y
_atom_site_fract_z
Co1 Co 0.000 0.000 0.000
As1 As 0.000 0.000 0.500
Br1 Br 0.000 0.500 0.000
F1 F 0.500 0.500 0.500
# Magnetic moment in μB/atom: 0.339
# Calculated density in g cm⁻³: 4.74

## ii
# GGA+U CoAsBr2F, relaxed
data_CoAsBr2F
_chemical_formula_sum 'Co1 As1 Br2 F1'
_space_group_name_H-M_alt 'P 4/m m m'
_space_group_IT_number 123
_space_group_name_Hall '-P 4 2'
_cell_length_a 5.561
_cell_length_b 5.561
_cell_length_c 3.867
_cell_angle_alpha 90.00
_cell_angle_beta 90.00
_cell_angle_gamma 90.00
loop_
_atom_site_label
_atom_site_type_symbol
_atom_site_fract_x
_atom_site_fract_y
_atom_site_fract_z
Co1 Co 0.000 0.000 0.000
As1 As 0.500 0.500 0.000
Br1 Br 0.000 0.500 0.500
F1 F 0.500 0.500 0.500
# Magnetic moment in μB/atom: 0.493
# Calculated density in g cm⁻³: 4.34

Going by the energies, i is most stable and the next is 119 meV per atom up.